(1)
# AlTeAu2

AlTeAu2 after structural relaxation (PBE-GGA, Alexandria via LeMat-Bulk).

Unit cell a=4.253 b=4.581 c=4.581 alpha=81.76 beta=90.00 gamma=90.00
Atoms (fractional coordinates):
Te (0.500, 0.250, 0.250)
Au (0.000, 0.962, 0.962)
Au (0.000, 0.538, 0.538)
Al (0.500, 0.750, 0.750)

Properties
The raw formation energy is -150 meV per atom. The space-group type is No. 65. The calculation puts the spin magnetization at 0.00 μB/cell.

(2)
# AlTe2Au

AlTe2Au after structural relaxation (PBE-GGA, Alexandria via LeMat-Bulk).

Unit cell a=12.791 b=12.791 c=12.791 alpha=13.78 beta=13.78 gamma=13.78
Atoms (fractional coordinates):
Te (0.075, 0.075, 0.075)
Te (0.925, 0.925, 0.925)
Au (0.500, 0.500, 0.500)
Al (0.000, 0.000, 0.000)

Properties
The raw formation energy is 284 meV per atom. The space-group type is No. 166. The calculation puts the spin magnetization at 0.00 μB/cell.

(3)
# AlTe2Au

AlTe2Au after structural relaxation (PBE-GGA, Alexandria via LeMat-Bulk).

Unit cell a=6.587 b=6.591 c=6.766 alpha=89.58 beta=89.93 gamma=89.95
Atoms (fractional coordinates):
Te (0.642, 0.695, 0.373)
Te (0.583, 0.253, 0.877)
Te (0.025, 0.194, 0.377)
Te (0.085, 0.636, 0.873)
Au (0.834, 0.944, 0.875)
Au (0.334, 0.444, 0.375)
Al (0.833, 0.444, 0.625)
Al (0.834, 0.444, 0.125)

Properties
The raw formation energy is -315 meV per atom. The space-group type is No. 2. The calculation puts the spin magnetization at 0.00 μB/cell.

(4)
# AlTeAu2

AlTeAu2 after structural relaxation (PBE-GGA, Alexandria via LeMat-Bulk).

Unit cell a=5.186 b=5.186 c=5.186 alpha=131.99 beta=101.96 gamma=97.11
Atoms (fractional coordinates):
Te (0.750, 0.250, 0.500)
Au (0.040, 0.040, 0.000)
Au (0.460, 0.460, 0.000)
Al (0.250, 0.750, 0.500)

Properties
The raw formation energy is 29 meV per atom. The space-group type is No. 71. The calculation puts the spin magnetization at 0.00 μB/cell.

(5)
# Al2TeAu

Al2TeAu after structural relaxation (PBE-GGA, Alexandria via LeMat-Bulk).

Unit cell a=4.360 b=4.360 c=6.317 alpha=108.47 beta=108.47 gamma=56.14
Atoms (fractional coordinates):
Te (0.895, 0.895, 0.729)
Au (0.531, 0.531, 0.250)
Al (0.816, 0.816, 0.112)
Al (0.258, 0.258, 0.409)

Properties
The raw formation energy is -265 meV per atom. The space-group type is No. 8. The calculation puts the spin magnetization at 0.00 μB/cell.

(6)
# AlTe2Au

AlTe2Au after structural relaxation (PBE-GGA, Alexandria via LeMat-Bulk).

Unit cell a=6.222 b=6.222 c=6.222 alpha=143.52 beta=89.22 gamma=102.10
Atoms (fractional coordinates):
Te (0.996, 0.996, 0.000)
Te (0.504, 0.504, 0.000)
Au (0.250, 0.750, 0.500)
Al (0.750, 0.250, 0.500)

Properties
The raw formation energy is 87 meV per atom. The space-group type is No. 71. The calculation puts the spin magnetization at 0.00 μB/cell.